{"formula": "BaScZn3GaO7", "functional": "SCAN", "state": "PBEsol geometry", "energy_ev_per_fu": -185.4, "density_g_cm3": 5.55, "magmom_total_mub_per_fu": 0.00, "n_ef_per_ev_cell": 0.00, "spacegroup": "No. 186", "lattice_angstrom": [[6.200, 0.000, 0.000], [-3.100, 5.369, 0.000], [0.000, 0.000, 10.063]], "species": ["Ba", "Ba", "Sc", "Sc", "Zn", "Zn", "Zn", "Zn", "Zn", "Zn", "Ga", "Ga", "O", "O", "O", "O", "O", "O", "O", "O", "O", "O", "O", "O", "O", "O"], "fractional_positions": [[0.333, 0.667, 0.000], [0.667, 0.333, 0.500], [0.333, 0.667, 0.357], [0.667, 0.333, 0.857], [0.173, 0.346, 0.676], [0.173, 0.827, 0.676], [0.346, 0.173, 0.176], [0.654, 0.827, 0.676], [0.827, 0.173, 0.176], [0.827, 0.654, 0.176], [0.000, 0.000, 0.425], [0.000, 0.000, 0.925], [0.000, 0.000, 0.240], [0.000, 0.000, 0.740], [0.019, 0.510, 0.239], [0.165, 0.330, 0.481], [0.165, 0.835, 0.481], [0.330, 0.165, 0.981], [0.490, 0.510, 0.239], [0.490, 0.981, 0.239], [0.510, 0.019, 0.739], [0.510, 0.490, 0.739], [0.670, 0.835, 0.481], [0.835, 0.165, 0.981], [0.835, 0.670, 0.981], [0.981, 0.490, 0.739]]}


{"formula": "CoMoRh2", "functional": "SCAN", "state": "PBEsol geometry", "energy_ev_per_fu": -120.3, "density_g_cm3": 11.45, "magmom_total_mub_per_fu": 1.89, "n_ef_per_ev_cell": 2.07, "formation_energy_mev_per_atom": -139, "spacegroup": "No. 139", "de_polymorph_ev_per_fu": 0.00, "lattice_angstrom": [[-1.877, 1.877, 3.711], [1.877, -1.877, 3.711], [1.877, 1.877, -3.711]], "species": ["Co", "Mo", "Rh", "Rh"], "fractional_positions": [[0.000, 0.000, 0.000], [0.500, 0.500, 0.000], [0.250, 0.750, 0.500], [0.750, 0.250, 0.500]]}